Entry 1:
# NaGaCu

A relaxed NaGaCu crystal (PBE, OQMD via LeMat-Bulk).

Cell: 4.4059 4.4059 4.4059 Å, 60.00 60.00 60.00°
With the nearest neighbours (Å) after each atom.
Positions (direct):
Na 0.0000 0.0000 0.0000  4 Cu 2.70
Ga 0.5000 0.5000 0.5000  4 Cu 2.70
Cu 0.7500 0.7500 0.7500  4 Na 2.70, 4 Ga 2.70

Results
Its uncorrected energy is -2.482 eV per atom. Its space-group type is F-43m.

***

Entry 2:
# SmTmNi8B2

A relaxed SmTmNi8B2 crystal (PBE, OQMD via LeMat-Bulk).

Cell: 5.0052 5.0052 6.9786 Å, 90.00 90.00 120.00°
With the nearest neighbours (Å) after each atom.
Positions (direct):
Sm 0.0000 0.0000 0.0000  6 B 2.89, 12 Ni 2.90
Tm 0.0000 0.0000 0.5000  18 Ni 2.89-3.22
Ni 0.0000 0.5000 0.2095  2 B 2.06
Ni 0.0000 0.5000 0.7905  2 B 2.06
Ni 0.3333 0.6667 0.5000  6 Ni 2.49
Ni 0.5000 0.0000 0.2095  2 B 2.06
Ni 0.5000 0.0000 0.7905  2 B 2.06
Ni 0.5000 0.5000 0.2095  2 B 2.06
Ni 0.5000 0.5000 0.7905  2 B 2.06
Ni 0.6667 0.3333 0.5000  6 Ni 2.49
B 0.3333 0.6667 0.0000  6 Ni 2.06
B 0.6667 0.3333 0.0000  6 Ni 2.06

Results
The calculation puts the total moment at 0.0 μB per cell. Its uncorrected energy is -6.056 eV per atom. Its space-group type is P6/mmm.

***

Entry 3:
# Hg2Pt

A relaxed Hg2Pt crystal (PBE, OQMD via LeMat-Bulk).

Cell: 8.4550 8.4550 8.4550 Å, 60.00 60.00 60.00°
With the nearest neighbours (Å) after each atom.
Positions (direct):
Hg 0.0000 0.0000 0.0000  2 Pt 2.59
Hg 0.0000 0.0000 0.5000  2 Pt 2.59
Hg 0.0000 0.5000 0.0000  2 Pt 2.59
Hg 0.5000 0.0000 0.0000  2 Pt 2.59
Pt 0.1250 0.1250 0.1250  4 Hg 2.59
Pt 0.8750 0.8750 0.8750  4 Hg 2.59

Results
The calculation puts the total moment at 0.0 μB per cell. The formation energy is 0.478 eV/atom. Its space-group type is Fd-3m.

***

Entry 4:
# KGdDy

A relaxed KGdDy crystal (PBE, OQMD via LeMat-Bulk).

Cell: 5.8887 5.8887 5.8887 Å, 60.00 60.00 60.00°
With the nearest neighbours (Å) after each atom.
Positions (direct):
K 0.0000 0.0000 0.0000  4 Dy 3.61
Gd 0.5000 0.5000 0.5000  4 Dy 3.61
Dy 0.7500 0.7500 0.7500  4 Gd 3.61, 4 K 3.61

Results
The calculation puts the total moment at 0.9 μB per cell. Its uncorrected energy is -2.275 eV per atom. Its space-group type is F-43m.

***

Entry 5:
# MgAg

A relaxed MgAg crystal (PBE, OQMD via LeMat-Bulk).

Cell: 6.0869 4.8573 7.6879 Å, 90.00 101.18 90.00°
With the nearest neighbours (Å) after each atom.
Positions (direct):
Mg 0.0272 0.2500 0.1212  5 Ag 2.82-2.93, 6 Mg 3.00-3.09
Mg 0.3099 0.7500 0.2492  6 Ag 2.79-3.07, 4 Mg 3.03
Mg 0.4648 0.7500 0.8742  5 Ag 2.84-2.94, 6 Mg 3.00-3.09
Mg 0.5352 0.2500 0.1258  5 Ag 2.84-2.94, 6 Mg 3.00-3.09
Mg 0.6901 0.2500 0.7508  6 Ag 2.79-3.07, 4 Mg 3.03
Mg 0.9728 0.7500 0.8788  5 Ag 2.82-2.93, 6 Mg 3.00-3.09
Ag 0.1329 0.7500 0.5579  3 Mg 2.79-2.84, 9 Ag 2.96-3.12
Ag 0.1995 0.2500 0.7953  8 Mg 2.90-3.07, 4 Ag 3.02-3.06
Ag 0.3548 0.2500 0.4449  5 Mg 2.80-2.88, 7 Ag 2.96-3.12
Ag 0.6452 0.7500 0.5551  5 Mg 2.80-2.88, 7 Ag 2.96-3.12
Ag 0.8005 0.7500 0.2047  8 Mg 2.90-3.07, 4 Ag 3.02-3.06
Ag 0.8671 0.2500 0.4421  3 Mg 2.79-2.84, 9 Ag 2.96-3.12

Results
Its uncorrected energy is -2.314 eV per atom. Its space-group type is P2_1/m.

***

Entry 6:
# DyInAu

A relaxed DyInAu crystal (PBE, OQMD via LeMat-Bulk).

Cell: 8.4069 8.4069 3.4554 Å, 90.00 90.00 120.00°
With the nearest neighbours (Å) after each atom.
Positions (direct):
Dy 0.0000 0.2975 0.0000  4 In 2.96-3.04, 4 Au 3.29
Dy 0.2975 0.0000 0.0000  4 In 2.96-3.04, 4 Au 3.29
Dy 0.7025 0.7025 0.0000  4 In 2.96-3.04, 4 Au 3.29
In 0.0000 0.0000 0.5000  3 Au 3.03, 6 Dy 3.04
In 0.3333 0.6667 0.0000  3 Dy 2.96, 6 Au 3.20
In 0.6667 0.3333 0.0000  3 Dy 2.96, 6 Au 3.20
Au 0.0000 0.6395 0.5000  5 In 3.03-3.20, 6 Dy 3.29-3.35
Au 0.3605 0.3605 0.5000  5 In 3.03-3.20, 6 Dy 3.29-3.35
Au 0.6395 0.0000 0.5000  5 In 3.03-3.20, 6 Dy 3.29-3.35

Results
The calculation puts the total moment at 0.1 μB per cell. Its uncorrected energy is -3.899 eV per atom. Its space-group type is P-62m.

***

Entry 7:
# BaMg4InPd2

A relaxed BaMg4InPd2 crystal (PBE, OQMD via LeMat-Bulk).

Cell: 5.9071 31.1217 31.1217 Å, 5.69 90.00 90.00°
With the nearest neighbours (Å) after each atom.
Positions (direct):
Ba 0.0000 0.0000 0.0000  2 Pd 3.05, 2 Ba 3.09
Mg 0.2525 0.4527 0.4527  4 Mg 2.92-3.09
Mg 0.2580 0.7355 0.7355  1 Pd 2.46
Mg 0.7420 0.7355 0.7355  1 Pd 2.46
Mg 0.7475 0.4527 0.4527  4 Mg 2.92-3.09
In 0.0000 0.0779 0.0779  2 Pd 2.70
Pd 0.0000 0.5423 0.5423  2 In 2.70
Pd 0.0000 0.7666 0.7666  2 Mg 2.46

Results
Its uncorrected energy is -2.071 eV per atom. Its space-group type is Amm2.

***

Entry 8:
# ZrBe

A relaxed ZrBe crystal (PBE, OQMD via LeMat-Bulk).

Cell: 7.6094 3.9548 12.8282 Å, 90.00 90.04 90.00°
With the nearest neighbours (Å) after each atom.
Positions (direct):
Zr 0.0521 0.2500 0.3336  3 Be 2.70, 2 Zr 2.92
Zr 0.0528 0.7500 0.1661  3 Be 2.70, 2 Zr 2.92
Zr 0.2376 0.2500 0.5795  9 Be 2.62-2.83
Zr 0.2376 0.7500 0.9204  9 Be 2.62-2.84
Zr 0.3735 0.2500 0.1555  5 Be 2.67-2.76
Zr 0.3732 0.7500 0.3445  5 Be 2.67-2.76
Zr 0.6268 0.2500 0.6555  5 Be 2.67-2.76
Zr 0.6265 0.7500 0.8445  5 Be 2.67-2.76
Zr 0.7624 0.2500 0.0796  9 Be 2.62-2.84
Zr 0.7624 0.7500 0.4205  9 Be 2.62-2.83
Zr 0.9472 0.2500 0.8339  3 Be 2.70, 2 Zr 2.92
Zr 0.9479 0.7500 0.6664  3 Be 2.70, 2 Zr 2.92
Be 0.0942 0.2500 0.0255  2 Be 2.53, 7 Zr 2.62-2.70
Be 0.0942 0.7500 0.4745  2 Be 2.53, 7 Zr 2.62-2.70
Be 0.3447 0.2500 0.7911  3 Be 2.24-2.31
Be 0.3448 0.7500 0.7088  3 Be 2.24-2.31
Be 0.4701 0.2500 0.9553  3 Be 2.31-2.33
Be 0.4700 0.7500 0.5447  3 Be 2.31-2.33
Be 0.5300 0.2500 0.4553  3 Be 2.31-2.33
Be 0.5299 0.7500 0.0447  3 Be 2.31-2.33
Be 0.6552 0.2500 0.2912  3 Be 2.24-2.31
Be 0.6553 0.7500 0.2089  3 Be 2.24-2.31
Be 0.9058 0.2500 0.5255  2 Be 2.53, 7 Zr 2.62-2.70
Be 0.9058 0.7500 0.9745  2 Be 2.53, 7 Zr 2.62-2.70

Results
The calculation puts the total moment at 0.0 μB per cell. Its uncorrected energy is -6.165 eV per atom. Its space-group type is P2_1/m.

***

Entry 9:
# Lu4CuAuN2

A relaxed Lu4CuAuN2 crystal (PBE, OQMD via LeMat-Bulk).

Cell: 3.3922 3.3922 14.0891 Å, 90.00 90.00 120.00°
With the nearest neighbours (Å) after each atom.
Positions (direct):
Lu 0.0000 0.0000 0.1486  3 N 2.40
Lu 0.0000 0.0000 0.8514  3 N 2.40
Lu 0.3333 0.6667 0.3395  3 N 2.36
Lu 0.3333 0.6667 0.6605  3 N 2.36
Cu 0.3333 0.6667 0.0000  6 Lu 2.87
Au 0.0000 0.0000 0.5000  6 Lu 2.99
N 0.6667 0.3333 0.2465  6 Lu 2.36-2.40
N 0.6667 0.3333 0.7535  6 Lu 2.36-2.40

Results
The calculation puts the total moment at 0.0 μB per cell. Its uncorrected energy is -6.238 eV per atom. Its space-group type is P-6m2.

***

Entry 10:
# TbTm2Sn4Pd4

A relaxed TbTm2Sn4Pd4 crystal (PBE, OQMD via LeMat-Bulk).

Cell: 8.4772 8.4772 8.4772 Å, 150.18 128.12 60.99°
With the nearest neighbours (Å) after each atom.
Positions (direct):
Tb 0.0000 0.0000 0.0000  6 Sn 3.13-3.14
Tm 0.3709 0.8709 0.5000  6 Sn 3.16-3.23, 6 Pd 3.18-3.20
Tm 0.6291 0.1291 0.5000  6 Sn 3.16-3.23, 6 Pd 3.18-3.20
Sn 0.2141 0.2141 0.0000  6 Pd 2.70-2.71
Sn 0.3039 0.5000 0.8039  2 Pd 2.70, 1 Sn 2.91
Sn 0.6961 0.5000 0.1961  2 Pd 2.70, 1 Sn 2.91
Sn 0.7859 0.7859 0.0000  6 Pd 2.70-2.71
Pd 0.0254 0.3221 0.7032  4 Sn 2.70-2.71, 1 Pd 3.01
Pd 0.3811 0.6779 0.7032  4 Sn 2.70-2.71, 1 Pd 3.01
Pd 0.6189 0.3221 0.2968  4 Sn 2.70-2.71, 1 Pd 3.01
Pd 0.9746 0.6779 0.2968  4 Sn 2.70-2.71, 1 Pd 3.01

Results
The calculation puts the total moment at 0.0 μB per cell. Its uncorrected energy is -5.379 eV per atom. Its space-group type is Immm.

***

Entry 11:
# KHfAl

A relaxed KHfAl crystal (PBE, OQMD via LeMat-Bulk).

Cell: 4.9513 4.9513 4.9513 Å, 60.00 60.00 60.00°
With the nearest neighbours (Å) after each atom.
Positions (direct):
K 0.0000 0.0000 0.0000  4 Hf 3.03, 4 Al 3.03
Hf 0.2500 0.2500 0.2500  4 K 3.03
Al 0.7500 0.7500 0.7500  4 K 3.03

Results
The calculation puts the total moment at 0.0 μB per cell. Its uncorrected energy is -3.211 eV per atom. Its space-group type is F-43m.

***

Entry 12:
# DyReMo

A relaxed DyReMo crystal (PBE, OQMD via LeMat-Bulk).

Cell: 4.5044 4.5044 4.5044 Å, 60.00 60.00 60.00°
With the nearest neighbours (Å) after each atom.
Positions (direct):
Dy 0.0000 0.0000 0.0000  4 Mo 2.76, 4 Re 2.76
Re 0.2500 0.2500 0.2500  4 Dy 2.76
Mo 0.7500 0.7500 0.7500  4 Dy 2.76

Results
The calculation puts the total moment at 0.5 μB per cell. The formation energy is 1.851 eV/atom. Its space-group type is F-43m.